Below is a relaxed Ho3ScCd crystal, with properties calculated at the PBE level.

Properties
Polymorph energy (0 for the lowest one)   0.0 meV/atom
Energy relative to the elements   -20.4 meV/atom

```
data_Ho3ScCd
_cell_length_a 21.437
_cell_length_b 3.439
_cell_length_c 8.043
_cell_angle_alpha 90.00
_cell_angle_beta 107.44
_cell_angle_gamma 90.00
_symmetry_space_group_name_H-M 'C 1 2/m 1'
_symmetry_Int_Tables_number 12
_symmetry_space_group_name_Hall '-C 2y'
loop_
_atom_site_label
_atom_site_fract_x
_atom_site_fract_y
_atom_site_fract_z
Ho1 0.015 0.000 0.227
Ho2 0.124 0.500 0.044
Ho3 0.177 0.000 0.445
Sc1 0.233 0.500 0.822
Cd1 0.079 0.500 0.604
```